Entry from the Alexandria database: a relaxed structure of Pa2Zn5Pd4 (PBE-GGA).

Output
Crystal system: orthorhombic
DFT total energy: -50.56 eV/cell
Energy of formation: -403 meV/atom
Theoretical density: 10.1 g/cm³

Cell and atoms, written as POSCAR:
```
Pa2Zn5Pd4
1.0
5.216 0.000 0.000
2.608 4.425 0.000
2.608 0.000 8.671
Zn Pa Pd
5 2 4
Cartesian
3.912 2.212 4.335
6.520 2.212 4.335
2.608 0.000 0.000
1.304 2.212 0.000
3.912 2.212 0.000
5.216 0.000 2.128
2.608 0.000 6.543
2.608 1.437 2.244
5.216 1.437 6.427
5.216 2.988 2.244
7.824 2.988 6.427
```